No. 1
Density functional theory data (PBE-GGA) for a relaxed Li3Tb2ErTe6 crystal.

The structure in POSCAR format:
```
Li3Tb2ErTe6
1.0
7.523 -0.001 0.000
-3.761 6.516 0.000
-1.255 -2.173 7.059
Te Tb Li Er
6 2 3 1
Cartesian
-1.243 2.153 1.803 Te
2.519 4.362 1.801 Te
2.486 -0.001 1.803 Te
-0.012 -0.020 5.259 Te
0.022 4.342 5.257 Te
3.750 2.189 5.257 Te
0.001 4.343 0.000 Tb
3.761 2.171 0.000 Tb
-2.502 4.340 3.530 Li
1.254 2.171 3.530 Li
5.009 0.002 3.530 Li
0.000 0.000 0.000 Er
```

Computed properties:
VASP energy   -4.492 eV/atom
Symmetry   C2/m (12)
Magnetization   0.0 Bohr magnetons per cell

No. 2
Density functional theory data (PBE-GGA) for a relaxed Mg2TlMo crystal.

The structure in POSCAR format:
```
Mg2TlMo
1.0
-5.839 -0.633 -3.038
3.232 -4.298 0.394
-2.146 -1.462 1.458
Tl Mg Mo
1 2 1
Cartesian
-1.303 -2.466 -1.322 Tl
-3.993 -1.048 -0.790 Mg
0.000 0.000 0.000 Mg
0.543 -2.880 0.926 Mo
```

Computed properties:
Formation energy   0.35 eV/atom
Density of states at the Fermi level   2.85 states/eV per cell
Symmetry   C2/m (12)
Magnetization   0.0 Bohr magnetons per cell